w:
# Be2TlHg | Alexandria | meta-GGA SCAN | single point on PBEsol structure
# **Magnetization**: 0.000 μB/atom
# **ρ**: 9.7 Mg/m³
data_Be2TlHg
_cell_length_a 3.234
_cell_length_b 4.134
_cell_length_c 5.449
_cell_angle_alpha 90.00
_cell_angle_beta 94.84
_cell_angle_gamma 90.00
_symmetry_space_group_name_H-M 'P 1 2/m 1'
_symmetry_Int_Tables_number 10
loop_
_symmetry_equiv_pos_as_xyz
'x,y,z'
'-x,-y,-z'
'-x,y,-z'
'x,-y,z'
loop_
_atom_site_label
_atom_site_type_symbol
_atom_site_fract_x
_atom_site_fract_y
_atom_site_fract_z
Be1 Be 0.222 0.000 0.333
Tl1 Tl 0.000 0.500 0.000
Hg1 Hg 0.500 0.500 0.500

=====

x:
# Be2TlHg | Alexandria | meta-GGA SCAN | single point on PBEsol structure
# **Magnetization**: 0.000 μB/atom
# **ρ**: 10.5 Mg/m³
data_Be2TlHg
_cell_length_a 3.1836
_cell_length_b 3.1836
_cell_length_c 22.9518
_cell_angle_alpha 90.00
_cell_angle_beta 90.00
_cell_angle_gamma 120.00
_symmetry_space_group_name_H-M 'R -3 m'
_symmetry_Int_Tables_number 166
_symmetry_space_group_name_Hall '-R 3 2"'
loop_
_atom_site_label
_atom_site_type_symbol
_atom_site_fract_x
_atom_site_fract_y
_atom_site_fract_z
Be1 Be 0.0000 0.0000 0.2441
Tl1 Tl 0.0000 0.0000 0.0000
Hg1 Hg 0.0000 0.0000 0.5000

=====

x comes first in stability; the runner-up is 0.023 eV/atom higher.

=====

w:
# Be2ZnHg | Alexandria | meta-GGA SCAN | single point on PBEsol structure
# **Magnetization**: 0.000 μB/atom
# **ρ**: 8.4 Mg/m³
data_Be2ZnHg
_cell_length_a 2.8151
_cell_length_b 2.8151
_cell_length_c 24.4041
_cell_angle_alpha 90.00
_cell_angle_beta 90.00
_cell_angle_gamma 120.00
_symmetry_space_group_name_H-M 'R 3 m'
_symmetry_Int_Tables_number 160
_symmetry_space_group_name_Hall 'R 3 -2"'
loop_
_atom_site_label
_atom_site_type_symbol
_atom_site_fract_x
_atom_site_fract_y
_atom_site_fract_z
Be1 Be 0.0000 0.0000 0.0000
Be2 Be 0.0000 0.0000 0.2669
Zn1 Zn 0.0000 0.0000 0.7422
Hg1 Hg 0.0000 0.0000 0.5121

=====

x:
# Be2ZnHg | Alexandria | meta-GGA SCAN | single point on PBEsol structure
# **Magnetization**: 0.000 μB/atom
# **ρ**: 9.0 Mg/m³
data_Be2ZnHg
_cell_length_a 3.697
_cell_length_b 3.697
_cell_length_c 7.638
_cell_angle_alpha 90.00
_cell_angle_beta 90.00
_cell_angle_gamma 90.00
_symmetry_space_group_name_H-M 'I -4 m 2'
_symmetry_Int_Tables_number 119
_symmetry_space_group_name_Hall 'I -4 -2'
loop_
_atom_site_label
_atom_site_type_symbol
_atom_site_fract_x
_atom_site_fract_y
_atom_site_fract_z
Be1 Be 0.000 0.000 0.000
Be2 Be 0.000 0.500 0.250
Zn1 Zn 0.000 0.500 0.750
Hg1 Hg 0.000 0.000 0.500

=====

x comes first in stability; the runner-up is 0.132 eV/atom higher.

=====

w:
# BeI2 | Alexandria | meta-GGA SCAN | single point on PBEsol structure
# **Magnetization**: 0.000 μB/atom
# **ρ**: 4.3 Mg/m³
data_BeI2
_cell_length_a 12.409
_cell_length_b 12.409
_cell_length_c 21.020
_cell_angle_alpha 90.00
_cell_angle_beta 90.00
_cell_angle_gamma 90.00
_symmetry_space_group_name_H-M 'I 41/a c d'
_symmetry_Int_Tables_number 142
loop_
_symmetry_equiv_pos_as_xyz
'x,y,z'
'-x,-y,-z'
'-y+1/4,x+3/4,z+1/4'
'y+1/4,-x+3/4,-z+1/4'
'-x+1/2,-y,z+1/2'
'x+1/2,y,-z+1/2'
'y+1/4,-x+1/4,z+3/4'
'-y+1/4,x+1/4,-z+3/4'
'x,-y,-z+1/2'
'-x,y,z+1/2'
'-y+1/4,-x+1/4,-z+1/4'
'y+1/4,x+1/4,z+1/4'
'-x+1/2,y,-z'
'x+1/2,-y,z'
'y+1/4,x+3/4,-z+3/4'
'-y+1/4,-x+3/4,z+3/4'
'x+1/2,y+1/2,z+1/2'
'-x+1/2,-y+1/2,-z+1/2'
'-y+3/4,x+1/4,z+3/4'
'y+3/4,-x+1/4,-z+3/4'
'-x,-y+1/2,z'
'x,y+1/2,-z'
'y+3/4,-x+3/4,z+1/4'
'-y+3/4,x+3/4,-z+1/4'
'x+1/2,-y+1/2,-z'
'-x+1/2,y+1/2,z'
'-y+3/4,-x+3/4,-z+3/4'
'y+3/4,x+3/4,z+3/4'
'-x,y+1/2,-z+1/2'
'x,-y+1/2,z+1/2'
'y+3/4,x+1/4,-z+1/4'
'-y+3/4,-x+1/4,z+1/4'
loop_
_atom_site_label
_atom_site_type_symbol
_atom_site_fract_x
_atom_site_fract_y
_atom_site_fract_z
Be1 Be 0.089 0.126 0.312
I1 I 0.000 0.250 0.009
I2 I 0.035 0.026 0.876
I3 I 0.195 0.000 0.250

=====

x:
# BeI2 | Alexandria | meta-GGA SCAN | single point on PBEsol structure
# **Magnetization**: 0.000 μB/atom
# **ρ**: 4.1 Mg/m³
data_BeI2
_cell_length_a 6.159
_cell_length_b 11.376
_cell_length_c 6.009
_cell_angle_alpha 90.00
_cell_angle_beta 90.00
_cell_angle_gamma 90.00
_symmetry_space_group_name_H-M 'I b a m'
_symmetry_Int_Tables_number 72
_symmetry_space_group_name_Hall '-I 2 2c'
loop_
_atom_site_label
_atom_site_type_symbol
_atom_site_fract_x
_atom_site_fract_y
_atom_site_fract_z
Be1 Be 0.000 0.000 0.250
I1 I 0.217 0.117 0.000

=====

w comes first in stability; the runner-up is 0.009 eV/atom higher.

=====

w:
# LaBeTe2I | Alexandria | meta-GGA SCAN | single point on PBEsol structure
# **Magnetization**: 0.371 μB/atom
# **ρ**: 3.9 Mg/m³
data_LaBeTe2I
_cell_length_a 6.109
_cell_length_b 6.109
_cell_length_c 6.095
_cell_angle_alpha 90.00
_cell_angle_beta 90.00
_cell_angle_gamma 90.00
_symmetry_space_group_name_H-M 'P 4/m m m'
_symmetry_Int_Tables_number 123
_symmetry_space_group_name_Hall '-P 4 2'
loop_
_atom_site_label
_atom_site_type_symbol
_atom_site_fract_x
_atom_site_fract_y
_atom_site_fract_z
La1 La 0.000 0.000 0.000
Be1 Be 0.500 0.500 0.500
Te1 Te 0.000 0.500 0.000
I1 I 0.000 0.000 0.500

=====

x:
# LaBeTe2I | Alexandria | meta-GGA SCAN | single point on PBEsol structure
# **Magnetization**: 0.000 μB/atom
# **ρ**: 6.5 Mg/m³
data_LaBeTe2I
_cell_length_a 5.152
_cell_length_b 5.152
_cell_length_c 5.090
_cell_angle_alpha 90.00
_cell_angle_beta 90.00
_cell_angle_gamma 90.00
_symmetry_space_group_name_H-M 'P 4/m m m'
_symmetry_Int_Tables_number 123
_symmetry_space_group_name_Hall '-P 4 2'
loop_
_atom_site_label
_atom_site_type_symbol
_atom_site_fract_x
_atom_site_fract_y
_atom_site_fract_z
La1 La 0.000 0.000 0.000
Be1 Be 0.500 0.500 0.500
Te1 Te 0.000 0.500 0.500
I1 I 0.500 0.500 0.000

=====

x comes first in stability; the runner-up is 0.731 eV/atom higher.

=====

w:
# BeIO2 | Alexandria | meta-GGA SCAN | single point on PBEsol structure
# **Magnetization**: 0.000 μB/atom
# **ρ**: 4.8 Mg/m³
data_BeIO2
_cell_length_a 3.1966
_cell_length_b 3.1966
_cell_length_c 19.5358
_cell_angle_alpha 90.00
_cell_angle_beta 90.00
_cell_angle_gamma 120.00
_symmetry_space_group_name_H-M 'R -3 m'
_symmetry_Int_Tables_number 166
_symmetry_space_group_name_Hall '-R 3 2"'
loop_
_atom_site_label
_atom_site_type_symbol
_atom_site_fract_x
_atom_site_fract_y
_atom_site_fract_z
Be1 Be 0.0000 0.0000 0.0000
I1 I 0.0000 0.0000 0.5000
O1 O 0.0000 0.0000 0.0745

=====

x:
# BeIO2 | Alexandria | meta-GGA SCAN | single point on PBEsol structure
# **Magnetization**: 0.001 μB/atom
# **ρ**: 5.9 Mg/m³
data_BeIO2
_cell_length_a 5.736
_cell_length_b 5.736
_cell_length_c 5.736
_cell_angle_alpha 90.00
_cell_angle_beta 90.00
_cell_angle_gamma 90.00
_symmetry_space_group_name_H-M 'F m -3 m'
_symmetry_Int_Tables_number 225
_symmetry_space_group_name_Hall '-F 4 2 3'
loop_
_atom_site_label
_atom_site_type_symbol
_atom_site_fract_x
_atom_site_fract_y
_atom_site_fract_z
Be1 Be 0.000 0.000 0.000
I1 I 0.000 0.000 0.500
O1 O 0.250 0.250 0.250

=====

w comes first in stability; the runner-up is 1.098 eV/atom higher.

=====

w:
# K2BeIn | Alexandria | meta-GGA SCAN | single point on PBEsol structure
# **Magnetization**: 0.004 μB/atom
# **ρ**: 2.2 Mg/m³
data_K2BeIn
_cell_length_a 8.006
_cell_length_b 4.149
_cell_length_c 9.534
_cell_angle_alpha 90.00
_cell_angle_beta 104.25
_cell_angle_gamma 90.00
_symmetry_space_group_name_H-M 'C 1 m 1'
_symmetry_Int_Tables_number 8
loop_
_symmetry_equiv_pos_as_xyz
'x,y,z'
'x,-y,z'
'x+1/2,y+1/2,z'
'x+1/2,-y+1/2,z'
loop_
_atom_site_label
_atom_site_type_symbol
_atom_site_fract_x
_atom_site_fract_y
_atom_site_fract_z
K1 K 0.000 0.000 0.000
K2 K 0.158 0.000 0.536
Be1 Be 0.435 0.000 0.268
In1 In 0.252 0.500 0.268

=====

x:
# K2BeIn | Alexandria | meta-GGA SCAN | single point on PBEsol structure
# **Magnetization**: 0.003 μB/atom
# **ρ**: 2.5 Mg/m³
data_K2BeIn
_cell_length_a 3.676
_cell_length_b 3.676
_cell_length_c 10.114
_cell_angle_alpha 90.00
_cell_angle_beta 90.00
_cell_angle_gamma 90.00
_symmetry_space_group_name_H-M 'P 4 m m'
_symmetry_Int_Tables_number 99
loop_
_symmetry_equiv_pos_as_xyz
'x,y,z'
'-y,x,z'
'-x,-y,z'
'y,-x,z'
'-x,y,z'
'y,x,z'
'x,-y,z'
'-y,-x,z'
loop_
_atom_site_label
_atom_site_type_symbol
_atom_site_fract_x
_atom_site_fract_y
_atom_site_fract_z
K1 K 0.000 0.000 0.000
K2 K 0.500 0.500 0.401
Be1 Be 0.000 0.000 0.672
In1 In 0.500 0.500 0.734

=====

w comes first in stability; the runner-up is 0.127 eV/atom higher.